The following is a GGA-PBE calculation of a relaxed structure of LiZn2Au7, from Alexandria via LeMat-Bulk.

abc: 4.401 4.401 10.795
angles: 90.00 90.00 120.00
Sites, in units of the cell vectors:
Li 0.000 0.000 0.000
Zn 0.333 0.667 0.623
Zn 0.667 0.333 0.226
Au 0.000 0.000 0.275
Au 0.000 0.000 0.713
Au 0.333 0.667 0.120
Au 0.333 0.667 0.389
Au 0.333 0.667 0.856
Au 0.667 0.333 0.533
Au 0.667 0.333 0.973

Properties
Calculated density in Mg/m³: 13.91
E_form in eV per atom: -0.15
E_tot in Ry per atom: -0.212
Offset from the most stable computed form in eV/atom: 0.000